No. 1
# LiBI4 | the Alexandria database | PBE | optimized geometry
data_LiBI4
_symmetry_space_group_name_H-M 'P 42/m m c'
_symmetry_Int_Tables_number 131
_symmetry_space_group_name_Hall '-P 4c 2'
_cell_length_a 7.7986
_cell_length_b 7.7986
_cell_length_c 10.2632
_cell_angle_alpha 90.00
_cell_angle_beta 90.00
_cell_angle_gamma 90.00
loop_
_atom_site_label
_atom_site_type_symbol
_atom_site_fract_x
_atom_site_fract_y
_atom_site_fract_z
_atom_site_occupancy
Li1 Li 0.0000 0.0000 0.0000 1
B1 B 0.0000 0.5000 0.0000 1
I1 I 0.2209 0.2833 0.0000 1
# Magnetization   0.0 Bohr magnetons per cell
# Total DFT energy (no corrections)   -14.4 eV per formula unit
# Raw formation energy   64.2 meV/atom

No. 2
# Li3BI | the Alexandria database | PBE | optimized geometry
data_Li3BI
_symmetry_space_group_name_H-M 'P m -3 m'
_symmetry_Int_Tables_number 221
_symmetry_space_group_name_Hall '-P 4 2 3'
_cell_length_a 4.6530
_cell_length_b 4.6530
_cell_length_c 4.6530
_cell_angle_alpha 90.00
_cell_angle_beta 90.00
_cell_angle_gamma 90.00
loop_
_atom_site_label
_atom_site_type_symbol
_atom_site_fract_x
_atom_site_fract_y
_atom_site_fract_z
_atom_site_occupancy
Li1 Li 0.0000 0.0000 0.5000 1
B1 B 0.0000 0.0000 0.0000 1
I1 I 0.5000 0.5000 0.5000 1
# Magnetization   3.0 Bohr magnetons per cell
# Distance to the lowest polymorph of the same formula   0.0 kJ per mole of atoms
# Total DFT energy (no corrections)   -13.2 eV per formula unit
# Raw formation energy   157.7 meV/atom

No. 3
# Li2BI | the Alexandria database | PBE | optimized geometry
data_Li2BI
_symmetry_space_group_name_H-M 'F m -3 m'
_symmetry_Int_Tables_number 225
_symmetry_space_group_name_Hall '-F 4 2 3'
_cell_length_a 6.6301
_cell_length_b 6.6301
_cell_length_c 6.6301
_cell_angle_alpha 90.00
_cell_angle_beta 90.00
_cell_angle_gamma 90.00
loop_
_atom_site_label
_atom_site_type_symbol
_atom_site_fract_x
_atom_site_fract_y
_atom_site_fract_z
_atom_site_occupancy
Li1 Li 0.2500 0.2500 0.2500 1
B1 B 0.0000 0.0000 0.0000 1
I1 I 0.0000 0.0000 0.5000 1
# Magnetization   0.0 Bohr magnetons per cell
# Distance to the lowest polymorph of the same formula   8.7 kJ per mole of atoms
# Total DFT energy (no corrections)   -9.9 eV per formula unit
# Raw formation energy   550.7 meV/atom

No. 4
# LiBI2 | the Alexandria database | PBE | optimized geometry
data_LiBI2
_symmetry_space_group_name_H-M 'I -4 2 d'
_symmetry_Int_Tables_number 122
_symmetry_space_group_name_Hall 'I -4 2bw'
_cell_length_a 6.2586
_cell_length_b 6.2586
_cell_length_c 13.5576
_cell_angle_alpha 90.00
_cell_angle_beta 90.00
_cell_angle_gamma 90.00
loop_
_atom_site_label
_atom_site_type_symbol
_atom_site_fract_x
_atom_site_fract_y
_atom_site_fract_z
_atom_site_occupancy
Li1 Li 0.0000 0.0000 0.0000 1
B1 B 0.0000 0.0000 0.5000 1
I1 I 0.2416 0.2500 0.6250 1
# Magnetization   0.0 Bohr magnetons per cell
# Distance to the lowest polymorph of the same formula   0.0 kJ per mole of atoms
# Total DFT energy (no corrections)   -10.5 eV per formula unit
# Raw formation energy   299.8 meV/atom

No. 5
# LiBI2 | the Alexandria database | PBE | optimized geometry
data_LiBI2
_symmetry_space_group_name_H-M 'F m -3 m'
_symmetry_Int_Tables_number 225
_symmetry_space_group_name_Hall '-F 4 2 3'
_cell_length_a 7.5180
_cell_length_b 7.5180
_cell_length_c 7.5180
_cell_angle_alpha 90.00
_cell_angle_beta 90.00
_cell_angle_gamma 90.00
loop_
_atom_site_label
_atom_site_type_symbol
_atom_site_fract_x
_atom_site_fract_y
_atom_site_fract_z
_atom_site_occupancy
Li1 Li 0.0000 0.0000 0.0000 1
B1 B 0.0000 0.0000 0.5000 1
I1 I 0.2500 0.2500 0.2500 1
# Magnetization   0.0 Bohr magnetons per cell
# Distance to the lowest polymorph of the same formula   27.5 kJ per mole of atoms
# Total DFT energy (no corrections)   -9.4 eV per formula unit
# Raw formation energy   584.6 meV/atom

No. 6
# Li2BI | the Alexandria database | PBE | optimized geometry
data_Li2BI
_symmetry_space_group_name_H-M 'I -4 2 d'
_symmetry_Int_Tables_number 122
_symmetry_space_group_name_Hall 'I -4 2bw'
_cell_length_a 7.2341
_cell_length_b 7.2341
_cell_length_c 5.8878
_cell_angle_alpha 90.00
_cell_angle_beta 90.00
_cell_angle_gamma 90.00
loop_
_atom_site_label
_atom_site_type_symbol
_atom_site_fract_x
_atom_site_fract_y
_atom_site_fract_z
_atom_site_occupancy
Li1 Li 0.1968 0.2500 0.1250 1
B1 B 0.0000 0.0000 0.0000 1
I1 I 0.0000 0.0000 0.5000 1
# Magnetization   0.0 Bohr magnetons per cell
# Distance to the lowest polymorph of the same formula   0.0 kJ per mole of atoms
# Total DFT energy (no corrections)   -10.2 eV per formula unit
# Raw formation energy   460.8 meV/atom

No. 7
# LiB2I8 | the Alexandria database | PBE | optimized geometry
data_LiB2I8
_symmetry_space_group_name_H-M 'C 1 2/m 1'
_symmetry_Int_Tables_number 12
_symmetry_space_group_name_Hall '-C 2y'
_cell_length_a 11.7242
_cell_length_b 12.8287
_cell_length_c 6.6742
_cell_angle_alpha 90.00
_cell_angle_beta 95.69
_cell_angle_gamma 90.00
loop_
_atom_site_label
_atom_site_type_symbol
_atom_site_fract_x
_atom_site_fract_y
_atom_site_fract_z
_atom_site_occupancy
Li1 Li 0.0000 0.0000 0.0000 1
B1 B 0.2206 0.0000 0.3958 1
I1 I 0.0980 0.5000 0.7039 1
I2 I 0.1305 0.1432 0.2647 1
I3 I 0.2356 0.0000 0.7320 1
# Magnetization   2.0 Bohr magnetons per cell
# Total DFT energy (no corrections)   -29.6 eV per formula unit
# Raw formation energy   -178.2 meV/atom

No. 8
# Li3BI | the Alexandria database | PBE | optimized geometry
data_Li3BI
_symmetry_space_group_name_H-M 'P m -3 m'
_symmetry_Int_Tables_number 221
_symmetry_space_group_name_Hall '-P 4 2 3'
_cell_length_a 5.0843
_cell_length_b 5.0843
_cell_length_c 5.0843
_cell_angle_alpha 90.00
_cell_angle_beta 90.00
_cell_angle_gamma 90.00
loop_
_atom_site_label
_atom_site_type_symbol
_atom_site_fract_x
_atom_site_fract_y
_atom_site_fract_z
_atom_site_occupancy
Li1 Li 0.0000 0.0000 0.5000 1
B1 B 0.5000 0.5000 0.5000 1
I1 I 0.0000 0.0000 0.0000 1
# Magnetization   0.0 Bohr magnetons per cell
# Distance to the lowest polymorph of the same formula   50.2 kJ per mole of atoms
# Total DFT energy (no corrections)   -10.6 eV per formula unit
# Raw formation energy   677.6 meV/atom

No. 9
# LiBMoI2 | the Alexandria database | PBE | optimized geometry
data_LiBMoI2
_symmetry_space_group_name_H-M 'P 4/m m m'
_symmetry_Int_Tables_number 123
_symmetry_space_group_name_Hall '-P 4 2'
_cell_length_a 5.3087
_cell_length_b 5.3087
_cell_length_c 5.1428
_cell_angle_alpha 90.00
_cell_angle_beta 90.00
_cell_angle_gamma 90.00
loop_
_atom_site_label
_atom_site_type_symbol
_atom_site_fract_x
_atom_site_fract_y
_atom_site_fract_z
_atom_site_occupancy
Li1 Li 0.0000 0.0000 0.0000 1
B1 B 0.5000 0.5000 0.5000 1
Mo1 Mo 0.0000 0.0000 0.5000 1
I1 I 0.0000 0.5000 0.0000 1
# Magnetization   4.6 Bohr magnetons per cell
# Total DFT energy (no corrections)   -14.3 eV per formula unit
# Raw formation energy   1642.3 meV/atom

No. 10
# LiBI2N | the Alexandria database | PBE | optimized geometry
data_LiBI2N
_symmetry_space_group_name_H-M 'P 4/m m m'
_symmetry_Int_Tables_number 123
_symmetry_space_group_name_Hall '-P 4 2'
_cell_length_a 6.4848
_cell_length_b 6.4848
_cell_length_c 2.8211
_cell_angle_alpha 90.00
_cell_angle_beta 90.00
_cell_angle_gamma 90.00
loop_
_atom_site_label
_atom_site_type_symbol
_atom_site_fract_x
_atom_site_fract_y
_atom_site_fract_z
_atom_site_occupancy
Li1 Li 0.0000 0.0000 0.0000 1
B1 B 0.5000 0.5000 0.5000 1
I1 I 0.0000 0.5000 0.5000 1
N1 N 0.5000 0.5000 0.0000 1
# Magnetization   0.0 Bohr magnetons per cell
# Distance to the lowest polymorph of the same formula   0.0 kJ per mole of atoms
# Total DFT energy (no corrections)   -20.6 eV per formula unit
# Raw formation energy   -113.3 meV/atom

No. 11
# LiBI2N | the Alexandria database | PBE | optimized geometry
data_LiBI2N
_symmetry_space_group_name_H-M 'P 4/m m m'
_symmetry_Int_Tables_number 123
_symmetry_space_group_name_Hall '-P 4 2'
_cell_length_a 5.3155
_cell_length_b 5.3155
_cell_length_c 3.7490
_cell_angle_alpha 90.00
_cell_angle_beta 90.00
_cell_angle_gamma 90.00
loop_
_atom_site_label
_atom_site_type_symbol
_atom_site_fract_x
_atom_site_fract_y
_atom_site_fract_z
_atom_site_occupancy
Li1 Li 0.0000 0.0000 0.0000 1
B1 B 0.5000 0.5000 0.5000 1
I1 I 0.0000 0.5000 0.0000 1
N1 N 0.0000 0.0000 0.5000 1
# Magnetization   0.0 Bohr magnetons per cell
# Distance to the lowest polymorph of the same formula   162.1 kJ per mole of atoms
# Total DFT energy (no corrections)   -12.2 eV per formula unit
# Raw formation energy   1567.0 meV/atom

No. 12
# LiBI2O | the Alexandria database | PBE | optimized geometry
data_LiBI2O
_symmetry_space_group_name_H-M 'P 4/m m m'
_symmetry_Int_Tables_number 123
_symmetry_space_group_name_Hall '-P 4 2'
_cell_length_a 5.5508
_cell_length_b 5.5508
_cell_length_c 3.4803
_cell_angle_alpha 90.00
_cell_angle_beta 90.00
_cell_angle_gamma 90.00
loop_
_atom_site_label
_atom_site_type_symbol
_atom_site_fract_x
_atom_site_fract_y
_atom_site_fract_z
_atom_site_occupancy
Li1 Li 0.0000 0.0000 0.0000 1
B1 B 0.5000 0.5000 0.5000 1
I1 I 0.0000 0.5000 0.0000 1
O1 O 0.0000 0.0000 0.5000 1
# Magnetization   0.0 Bohr magnetons per cell
# Distance to the lowest polymorph of the same formula   94.3 kJ per mole of atoms
# Total DFT energy (no corrections)   -12.9 eV per formula unit
# Raw formation energy   752.7 meV/atom

No. 13
# LiBI2O | the Alexandria database | PBE | optimized geometry
data_LiBI2O
_symmetry_space_group_name_H-M 'P 4/m m m'
_symmetry_Int_Tables_number 123
_symmetry_space_group_name_Hall '-P 4 2'
_cell_length_a 5.7076
_cell_length_b 5.7076
_cell_length_c 3.1112
_cell_angle_alpha 90.00
_cell_angle_beta 90.00
_cell_angle_gamma 90.00
loop_
_atom_site_label
_atom_site_type_symbol
_atom_site_fract_x
_atom_site_fract_y
_atom_site_fract_z
_atom_site_occupancy
Li1 Li 0.0000 0.0000 0.0000 1
B1 B 0.5000 0.5000 0.5000 1
I1 I 0.0000 0.5000 0.5000 1
O1 O 0.5000 0.5000 0.0000 1
# Magnetization   0.0 Bohr magnetons per cell
# Distance to the lowest polymorph of the same formula   0.0 kJ per mole of atoms
# Total DFT energy (no corrections)   -17.8 eV per formula unit
# Raw formation energy   -224.8 meV/atom

No. 14
# LiBPtI2 | the Alexandria database | PBE | optimized geometry
data_LiBPtI2
_symmetry_space_group_name_H-M 'P 4/m m m'
_symmetry_Int_Tables_number 123
_symmetry_space_group_name_Hall '-P 4 2'
_cell_length_a 5.4900
_cell_length_b 5.4900
_cell_length_c 4.6596
_cell_angle_alpha 90.00
_cell_angle_beta 90.00
_cell_angle_gamma 90.00
loop_
_atom_site_label
_atom_site_type_symbol
_atom_site_fract_x
_atom_site_fract_y
_atom_site_fract_z
_atom_site_occupancy
Li1 Li 0.0000 0.0000 0.0000 1
B1 B 0.5000 0.5000 0.0000 1
Pt1 Pt 0.0000 0.0000 0.5000 1
I1 I 0.0000 0.5000 0.5000 1
# Magnetization   0.2 Bohr magnetons per cell
# Total DFT energy (no corrections)   -13.7 eV per formula unit
# Raw formation energy   809.9 meV/atom

No. 15
# Rb2LiBI6 | the Alexandria database | PBE | optimized geometry
data_Rb2LiBI6
_symmetry_space_group_name_H-M 'I 4/m m m'
_symmetry_Int_Tables_number 139
_symmetry_space_group_name_Hall '-I 4 2'
_cell_length_a 8.9128
_cell_length_b 8.9128
_cell_length_c 10.4006
_cell_angle_alpha 90.00
_cell_angle_beta 90.00
_cell_angle_gamma 90.00
loop_
_atom_site_label
_atom_site_type_symbol
_atom_site_fract_x
_atom_site_fract_y
_atom_site_fract_z
_atom_site_occupancy
Rb1 Rb 0.0000 0.5000 0.2500 1
Li1 Li 0.0000 0.0000 0.0000 1
B1 B 0.0000 0.0000 0.5000 1
I1 I 0.0000 0.0000 0.3048 1
I2 I 0.2269 0.2269 0.0000 1
# Magnetization   0.0 Bohr magnetons per cell
# Total DFT energy (no corrections)   -25.6 eV per formula unit
# Raw formation energy   -579.0 meV/atom

No. 16
# RbLiB2I8 | the Alexandria database | PBE | optimized geometry
data_RbLiB2I8
_symmetry_space_group_name_H-M 'R -3'
_symmetry_Int_Tables_number 148
_symmetry_space_group_name_Hall '-R 3'
_cell_length_a 7.0745
_cell_length_b 7.0745
_cell_length_c 31.4137
_cell_angle_alpha 90.00
_cell_angle_beta 90.00
_cell_angle_gamma 120.00
loop_
_atom_site_label
_atom_site_type_symbol
_atom_site_fract_x
_atom_site_fract_y
_atom_site_fract_z
_atom_site_occupancy
Rb1 Rb 0.0000 0.0000 0.0000 1
Li1 Li 0.0000 0.0000 0.5000 1
B1 B 0.0000 0.0000 0.2483 1
I1 I 0.0000 0.0000 0.3200 1
I2 I 0.0023 0.6964 0.7741 1
# Magnetization   0.0 Bohr magnetons per cell
# Total DFT energy (no corrections)   -34.0 eV per formula unit
# Raw formation energy   -446.0 meV/atom

No. 17
# LiBSb2I | the Alexandria database | PBE | optimized geometry
data_LiBSb2I
_symmetry_space_group_name_H-M 'P 4/m m m'
_symmetry_Int_Tables_number 123
_symmetry_space_group_name_Hall '-P 4 2'
_cell_length_a 4.5746
_cell_length_b 4.5746
_cell_length_c 9.2212
_cell_angle_alpha 90.00
_cell_angle_beta 90.00
_cell_angle_gamma 90.00
loop_
_atom_site_label
_atom_site_type_symbol
_atom_site_fract_x
_atom_site_fract_y
_atom_site_fract_z
_atom_site_occupancy
Li1 Li 0.0000 0.0000 0.0000 1
B1 B 0.5000 0.5000 0.5000 1
Sb1 Sb 0.0000 0.5000 0.5000 1
I1 I 0.5000 0.5000 0.0000 1
# Magnetization   0.0 Bohr magnetons per cell
# Distance to the lowest polymorph of the same formula   0.0 kJ per mole of atoms
# Total DFT energy (no corrections)   -16.1 eV per formula unit
# Raw formation energy   459.5 meV/atom

No. 18
# LiBSb2I | the Alexandria database | PBE | optimized geometry
data_LiBSb2I
_symmetry_space_group_name_H-M 'P 4/m m m'
_symmetry_Int_Tables_number 123
_symmetry_space_group_name_Hall '-P 4 2'
_cell_length_a 4.9291
_cell_length_b 4.9291
_cell_length_c 5.5558
_cell_angle_alpha 90.00
_cell_angle_beta 90.00
_cell_angle_gamma 90.00
loop_
_atom_site_label
_atom_site_type_symbol
_atom_site_fract_x
_atom_site_fract_y
_atom_site_fract_z
_atom_site_occupancy
Li1 Li 0.0000 0.0000 0.0000 1
B1 B 0.5000 0.5000 0.5000 1
Sb1 Sb 0.0000 0.5000 0.0000 1
I1 I 0.0000 0.0000 0.5000 1
# Magnetization   0.0 Bohr magnetons per cell
# Distance to the lowest polymorph of the same formula   67.5 kJ per mole of atoms
# Total DFT energy (no corrections)   -12.6 eV per formula unit
# Raw formation energy   1159.2 meV/atom

No. 19
# LiB2SeI | the Alexandria database | PBE | optimized geometry
data_LiB2SeI
_symmetry_space_group_name_H-M 'P 4/m m m'
_symmetry_Int_Tables_number 123
_symmetry_space_group_name_Hall '-P 4 2'
_cell_length_a 4.7236
_cell_length_b 4.7236
_cell_length_c 4.4264
_cell_angle_alpha 90.00
_cell_angle_beta 90.00
_cell_angle_gamma 90.00
loop_
_atom_site_label
_atom_site_type_symbol
_atom_site_fract_x
_atom_site_fract_y
_atom_site_fract_z
_atom_site_occupancy
Li1 Li 0.0000 0.0000 0.0000 1
B1 B 0.0000 0.5000 0.0000 1
Se1 Se 0.0000 0.0000 0.5000 1
I1 I 0.5000 0.5000 0.5000 1
# Magnetization   0.0 Bohr magnetons per cell
# Total DFT energy (no corrections)   -12.3 eV per formula unit
# Raw formation energy   1602.6 meV/atom

No. 20
# LiBTe2I | the Alexandria database | PBE | optimized geometry
data_LiBTe2I
_symmetry_space_group_name_H-M 'P 4/m m m'
_symmetry_Int_Tables_number 123
_symmetry_space_group_name_Hall '-P 4 2'
_cell_length_a 4.6368
_cell_length_b 4.6368
_cell_length_c 8.5106
_cell_angle_alpha 90.00
_cell_angle_beta 90.00
_cell_angle_gamma 90.00
loop_
_atom_site_label
_atom_site_type_symbol
_atom_site_fract_x
_atom_site_fract_y
_atom_site_fract_z
_atom_site_occupancy
Li1 Li 0.0000 0.0000 0.0000 1
B1 B 0.5000 0.5000 0.5000 1
Te1 Te 0.0000 0.5000 0.5000 1
I1 I 0.5000 0.5000 0.0000 1
# Magnetization   0.0 Bohr magnetons per cell
# Distance to the lowest polymorph of the same formula   0.0 kJ per mole of atoms
# Total DFT energy (no corrections)   -14.8 eV per formula unit
# Raw formation energy   316.0 meV/atom